Record 1
A relaxed structure of NiTe4, computed with PBE-GGA.

Summary:
Raw formation energy ... 469 meV/atom
Distance to the lowest polymorph of the same formula ... 308 meV/atom

Cell: 10.227 10.227 10.227 Å, 157.24 157.24 32.41°
Last column: magnetic moment on the atom in μB.
Atoms (fractional coordinates):
Ni (0.000, 0.000, 0.000)  0.13
Te (0.750, 0.250, 0.500)  0.00
Te (0.250, 0.750, 0.500)  0.00
Te (0.568, 0.568, 0.000)  0.01
Te (0.432, 0.432, 0.000)  0.01

=====

Record 2
A relaxed structure of BeSe3, computed with PBE-GGA.

Summary:
Raw formation energy ... 404 meV/atom
Distance to the lowest polymorph of the same formula ... 463 meV/atom

Cell: 4.604 4.604 4.604 Å, 90.00 90.00 90.00°
Atoms (fractional coordinates):
Be (0.000, 0.000, 0.000)
Se (0.500, 0.000, 0.000)
Se (0.000, 0.500, 0.000)
Se (0.000, 0.000, 0.500)

=====

Record 3
A relaxed structure of MgReNi, computed with PBE-GGA.

Summary:
Formation enthalpy at 0 K ... 103 meV/atom
Distance to the lowest polymorph of the same formula ... 0 meV/atom

Cell: 6.111 6.111 2.738 Å, 77.05 77.06 25.89°
Atoms (fractional coordinates):
Mg (0.993, 0.993, 0.007)
Ni (0.324, 0.324, 0.676)
Re (0.683, 0.683, 0.317)

=====

Record 4
A relaxed structure of TiCoSbI2, computed with PBE-GGA.

Summary:
Raw formation energy ... 701 meV/atom
Distance to the lowest polymorph of the same formula ... 0 meV/atom

Cell: 5.367 5.367 5.589 Å, 90.00 90.00 90.00°
Last column: magnetic moment on the atom in μB.
Atoms (fractional coordinates):
I (0.000, 0.500, 0.000)  -0.01
I (0.500, 0.000, 0.000)  -0.01
Sb (0.000, 0.000, 0.500)  -0.12
Co (0.500, 0.500, 0.500)  2.35
Ti (0.000, 0.000, 0.000)  0.47

=====

Record 5
A relaxed structure of CaPmMgCu, computed with PBE-GGA.

Summary:
Formation enthalpy at 0 K ... -25 meV/atom

Cell: 5.266 5.266 5.266 Å, 60.00 60.00 60.00°
Atoms (fractional coordinates):
Ca (0.500, 0.500, 0.500)
Mg (0.750, 0.750, 0.750)
Cu (0.250, 0.250, 0.250)
Pm (0.000, 0.000, 0.000)

=====

Record 6
A relaxed structure of BaTc2SnTe, computed with PBE-GGA.

Summary:
Raw formation energy ... 935 meV/atom

Cell: 5.024 5.893 5.024 Å, 90.00 90.00 90.00°
Last column: magnetic moment on the atom in μB.
Atoms (fractional coordinates):
Tc (0.000, 0.000, 0.500)  1.09
Tc (0.500, 0.000, 0.000)  1.16
Te (0.000, 0.000, 0.000)  -0.04
Ba (0.500, 0.500, 0.500)  -0.01
Sn (0.000, 0.500, 0.000)  -0.05

=====

Record 7
A relaxed structure of CePmNdPu, computed with PBE-GGA.

Summary:
Formation enthalpy at 0 K ... 225 meV/atom

Cell: 5.632 5.632 5.632 Å, 60.00 60.00 60.00°
Last column: magnetic moment on the atom in μB.
Atoms (fractional coordinates):
Pm (0.250, 0.250, 0.250)  0.18
Nd (0.000, 0.000, 0.000)  0.25
Ce (0.500, 0.500, 0.500)  1.10
Pu (0.750, 0.750, 0.750)  5.69

=====

Record 8
A relaxed structure of RbPm2Dy, computed with PBE-GGA.

Summary:
Formation enthalpy at 0 K ... 254 meV/atom

Cell: 3.678 3.678 13.629 Å, 82.24 82.24 60.00°
Atoms (fractional coordinates):
Pm (0.096, 0.096, 0.711)
Pm (0.904, 0.904, 0.289)
Rb (0.000, 0.000, 0.000)
Dy (0.500, 0.500, 0.500)

=====

Record 9
A relaxed structure of ScPaTl2, computed with PBE-GGA.

Summary:
Formation enthalpy at 0 K ... -21 meV/atom
Distance to the lowest polymorph of the same formula ... 0 meV/atom

Cell: 3.337 3.337 10.623 Å, 80.96 80.96 60.00°
Atoms (fractional coordinates):
Sc (0.000, 0.000, 0.000)
Tl (0.255, 0.255, 0.235)
Tl (0.745, 0.745, 0.765)
Pa (0.500, 0.500, 0.500)

=====

Record 10
A relaxed structure of BaTl2Sb, computed with PBE-GGA.

Summary:
Raw formation energy ... -398 meV/atom
Distance to the lowest polymorph of the same formula ... 93 meV/atom

Cell: 5.905 5.905 5.914 Å, 73.34 73.34 44.67°
Atoms (fractional coordinates):
Ba (0.750, 0.750, 0.750)
Sb (0.250, 0.250, 0.250)
Tl (0.982, 0.982, 0.046)
Tl (0.518, 0.518, 0.454)

=====

Record 11
A relaxed structure of ZrTi2Tl2, computed with PBE-GGA.

Summary:
Formation enthalpy at 0 K ... 163 meV/atom
Distance to the lowest polymorph of the same formula ... 59 meV/atom

Cell: 7.916 7.916 3.386 Å, 90.00 90.00 90.00°
Atoms (fractional coordinates):
Tl (0.367, 0.867, 0.000)
Tl (0.867, 0.633, 0.000)
Tl (0.633, 0.133, 0.000)
Tl (0.133, 0.367, 0.000)
Zr (0.000, 0.000, 0.000)
Zr (0.500, 0.500, 0.000)
Ti (0.170, 0.670, 0.500)
Ti (0.670, 0.830, 0.500)
Ti (0.830, 0.330, 0.500)
Ti (0.330, 0.170, 0.500)

=====

Record 12
A relaxed structure of Ce6Ru2Pb, computed with PBE-GGA.

Summary:
Formation enthalpy at 0 K ... -331 meV/atom
Distance to the lowest polymorph of the same formula ... 0 meV/atom

Cell: 4.700 5.850 8.943 Å, 92.18 90.00 113.68°
Last column: magnetic moment on the atom in μB.
Atoms (fractional coordinates):
Ce (0.073, 0.147, 0.866)  0.08
Ce (0.593, 0.186, 0.177)  0.16
Ce (0.407, 0.814, 0.823)  0.16
Ce (0.711, 0.421, 0.610)  0.32
Ce (0.289, 0.579, 0.390)  0.32
Ce (0.927, 0.853, 0.134)  0.08
Ru (0.741, 0.482, 0.881)  -0.04
Ru (0.259, 0.518, 0.119)  -0.04
Pb (0.000, 0.000, 0.500)  -0.01

=====

In order of appearance, calculated total energy = -3.201, -3.141, -6.505, -3.744, -3.135, -5.025, -7.221, -3.514, -5.161, -3.093, -5.651, -6.760 eV per atom.